NpCuPtAu | PBE | relaxed

CIF file:
```
data_NpCuPtAu
_symmetry_space_group_name_H-M 'F -4 3 m'
_symmetry_Int_Tables_number 216
_symmetry_space_group_name_Hall 'F -4 2 3'
_cell_length_a 6.685
_cell_length_b 6.685
_cell_length_c 6.685
_cell_angle_alpha 90.00
_cell_angle_beta 90.00
_cell_angle_gamma 90.00
loop_
_atom_site_label
_atom_site_type_symbol
_atom_site_fract_x
_atom_site_fract_y
_atom_site_fract_z
Np1 Np 0.000 0.000 0.000
Cu1 Cu 0.250 0.250 0.750
Pt1 Pt 0.250 0.250 0.250
Au1 Au 0.000 0.000 0.500
```

Output
- electronic total energy (eV per atom) = -6.714
- theoretical density (kg/m³) = 15396
- ΔE_f (eV per atom) = -0.13